Crystalline SiNiB2F at its relaxed geometry, computed with PBE with a Hubbard U.

Calculated values
- Space group: P4/mmm, No. 123
- Magnetic moment: 1.00 μB per formula unit
- Raw total energy: -18.8 eV/cell

a b c (Å): 3.8773 4.7240 3.8773
angles (deg): 90.00 90.00 90.00
Site moments in Bohr magnetons follow the coordinates.
Atoms (fractional coordinates):
Ni: 0.0000 0.5000 0.0000  1.03
Si: 0.0000 0.0000 0.0000  0.00
B: 0.0000 0.0000 0.5000  -0.01
B: 0.5000 0.0000 0.0000  -0.02
F: 0.5000 0.5000 0.5000  0.01